# GdInCu4 | the Alexandria database | GGA-PBE | relaxed
data_GdInCu4
_space_group_name_H-M_alt 'C 1 m 1'
_space_group_IT_number 8
_space_group_name_Hall 'C -2y'
_cell_length_a 8.9121
_cell_length_b 5.1460
_cell_length_c 5.1521
_cell_angle_alpha 90.00
_cell_angle_beta 125.28
_cell_angle_gamma 90.00
loop_
_atom_site_label
_atom_site_fract_x
_atom_site_fract_y
_atom_site_fract_z
Gd1 0.0000 0.0000 0.0000
In1 0.2500 0.5000 0.2503
Cu1 0.1244 0.2505 0.6236
Cu2 0.3753 0.0000 0.1271
Cu3 0.3750 0.0000 0.6236
# Crystal system: monoclinic
# Energy of formation, meV/atom: -265
# DFT total energy, eV/atom: -5.799



# GdInCu | the Alexandria database | GGA-PBE | relaxed
data_GdInCu
_space_group_name_H-M_alt 'P -6 m 2'
_space_group_IT_number 187
_space_group_name_Hall 'P -6 2'
_cell_length_a 4.6762
_cell_length_b 4.6762
_cell_length_c 3.5715
_cell_angle_alpha 90.00
_cell_angle_beta 90.00
_cell_angle_gamma 120.00
loop_
_atom_site_label
_atom_site_fract_x
_atom_site_fract_y
_atom_site_fract_z
Gd1 0.0000 0.0000 0.0000
In1 0.6667 0.3333 0.5000
Cu1 0.3333 0.6667 0.5000
# Crystal system: hexagonal
# Energy of formation, meV/atom: -350
# DFT total energy, eV/atom: -7.322



# GdInCu | the Alexandria database | GGA-PBE | relaxed
data_GdInCu
_space_group_name_H-M_alt 'F -4 3 m'
_space_group_IT_number 216
_space_group_name_Hall 'F -4 2 3'
_cell_length_a 6.5997
_cell_length_b 6.5997
_cell_length_c 6.5997
_cell_angle_alpha 90.00
_cell_angle_beta 90.00
_cell_angle_gamma 90.00
loop_
_atom_site_label
_atom_site_fract_x
_atom_site_fract_y
_atom_site_fract_z
Gd1 0.0000 0.0000 0.0000
In1 0.0000 0.0000 0.5000
Cu1 0.2500 0.2500 0.7500
# Crystal system: cubic
# Energy of formation, meV/atom: -301
# DFT total energy, eV/atom: -7.273



# GdMgInCu | the Alexandria database | GGA-PBE | relaxed
data_GdMgInCu
_space_group_name_H-M_alt 'F -4 3 m'
_space_group_IT_number 216
_space_group_name_Hall 'F -4 2 3'
_cell_length_a 7.0411
_cell_length_b 7.0411
_cell_length_c 7.0411
_cell_angle_alpha 90.00
_cell_angle_beta 90.00
_cell_angle_gamma 90.00
loop_
_atom_site_label
_atom_site_fract_x
_atom_site_fract_y
_atom_site_fract_z
Gd1 0.0000 0.0000 0.0000
Mg1 0.0000 0.0000 0.5000
In1 0.2500 0.2500 0.7500
Cu1 0.2500 0.2500 0.2500
# Crystal system: cubic
# Energy of formation, meV/atom: -254
# DFT total energy, eV/atom: -5.882



# GdInCuPd | the Alexandria database | GGA-PBE | relaxed
data_GdInCuPd
_space_group_name_H-M_alt 'F -4 3 m'
_space_group_IT_number 216
_space_group_name_Hall 'F -4 2 3'
_cell_length_a 6.8006
_cell_length_b 6.8006
_cell_length_c 6.8006
_cell_angle_alpha 90.00
_cell_angle_beta 90.00
_cell_angle_gamma 90.00
loop_
_atom_site_label
_atom_site_fract_x
_atom_site_fract_y
_atom_site_fract_z
Gd1 0.0000 0.0000 0.0000
In1 0.0000 0.0000 0.5000
Cu1 0.2500 0.2500 0.2500
Pd1 0.2500 0.2500 0.7500
# Crystal system: cubic
# Energy of formation, meV/atom: -515
# DFT total energy, eV/atom: -7.042



# GdInCuRh | the Alexandria database | GGA-PBE | relaxed
data_GdInCuRh
_space_group_name_H-M_alt 'F -4 3 m'
_space_group_IT_number 216
_space_group_name_Hall 'F -4 2 3'
_cell_length_a 6.7294
_cell_length_b 6.7294
_cell_length_c 6.7294
_cell_angle_alpha 90.00
_cell_angle_beta 90.00
_cell_angle_gamma 90.00
loop_
_atom_site_label
_atom_site_fract_x
_atom_site_fract_y
_atom_site_fract_z
Gd1 0.0000 0.0000 0.0000
In1 0.0000 0.0000 0.5000
Cu1 0.2500 0.2500 0.7500
Rh1 0.2500 0.2500 0.2500
# Crystal system: cubic
# Energy of formation, meV/atom: -429
# DFT total energy, eV/atom: -7.496



# GdScInCu | the Alexandria database | GGA-PBE | relaxed
data_GdScInCu
_space_group_name_H-M_alt 'F -4 3 m'
_space_group_IT_number 216
_space_group_name_Hall 'F -4 2 3'
_cell_length_a 7.1358
_cell_length_b 7.1358
_cell_length_c 7.1358
_cell_angle_alpha 90.00
_cell_angle_beta 90.00
_cell_angle_gamma 90.00
loop_
_atom_site_label
_atom_site_fract_x
_atom_site_fract_y
_atom_site_fract_z
Gd1 0.0000 0.0000 0.0000
Sc1 0.0000 0.0000 0.5000
In1 0.2500 0.2500 0.2500
Cu1 0.2500 0.2500 0.7500
# Crystal system: cubic
# Energy of formation, meV/atom: -289
# DFT total energy, eV/atom: -7.101



# SmGdInCu | the Alexandria database | GGA-PBE | relaxed
data_SmGdInCu
_space_group_name_H-M_alt 'F -4 3 m'
_space_group_IT_number 216
_space_group_name_Hall 'F -4 2 3'
_cell_length_a 7.4028
_cell_length_b 7.4028
_cell_length_c 7.4028
_cell_angle_alpha 90.00
_cell_angle_beta 90.00
_cell_angle_gamma 90.00
loop_
_atom_site_label
_atom_site_fract_x
_atom_site_fract_y
_atom_site_fract_z
Sm1 0.0000 0.0000 0.0000
Gd1 0.0000 0.0000 0.5000
In1 0.2500 0.2500 0.7500
Cu1 0.2500 0.2500 0.2500
# Crystal system: cubic
# Energy of formation, meV/atom: -298
# DFT total energy, eV/atom: -6.707



Which value of DFT total energy does entry 3 give? -7.273 eV/atom